Record 1
TbPr2Ho3 | PBE-GGA | relaxed

abc: 8.6902 8.6902 9.7061
angles: 119.33 119.33 39.22
Last column: nearest neighbours and their distance in Å.
Positions (direct):
Tb 0.0475 0.0475 0.1938  1 Tb 3.24, 5 Ho 3.31-3.61, 2 Pr 3.33-3.41
Tb 0.9525 0.9525 0.8062  1 Tb 3.24, 5 Ho 3.31-3.61, 2 Pr 3.33-3.41
Pr 0.1900 0.1900 0.9897  1 Tb 3.33, 2 Pr 3.46, 4 Ho 3.50-3.70
Pr 0.2909 0.2909 0.4364  5 Ho 3.35-3.66, 1 Tb 3.41, 2 Pr 3.68
Pr 0.7091 0.7091 0.5636  5 Ho 3.35-3.66, 1 Tb 3.41, 2 Pr 3.68
Pr 0.8100 0.8100 0.0103  1 Tb 3.33, 2 Pr 3.46, 4 Ho 3.50-3.70
Ho 0.1142 0.1142 0.5798  4 Ho 3.22-3.60, 1 Tb 3.31, 3 Pr 3.35-3.50
Ho 0.3680 0.3680 0.8642  2 Tb 3.40, 4 Pr 3.58-3.70, 3 Ho 3.59-3.71
Ho 0.4555 0.4555 0.2884  7 Ho 3.57-3.95, 5 Pr 3.58-3.84, 2 Tb 3.61
Ho 0.5445 0.5445 0.7116  7 Ho 3.57-3.95, 5 Pr 3.58-3.84, 2 Tb 3.61
Ho 0.6320 0.6320 0.1358  2 Tb 3.40, 4 Pr 3.58-3.70, 3 Ho 3.59-3.71
Ho 0.8858 0.8858 0.4202  4 Ho 3.22-3.60, 1 Tb 3.31, 3 Pr 3.35-3.50

total magnetization: 0.000 μB per atom
E_form: 111 meV per atom
polymorph energy (0 for the lowest one): 7.4 kJ/mol of formula units
D(E_F): 20.5 states/eV/cell
space group: No. 12
total energy: -4.543 eV/atom



Record 2
SmVCo4 | PBE-GGA | relaxed

abc: 4.9320 4.9320 4.9320
angles: 60.00 60.00 60.00
Last column: nearest neighbours and their distance in Å.
Positions (direct):
Sm 0.0000 0.0000 0.0000  12 Co 2.89, 4 V 3.02
V 0.7500 0.7500 0.7500  12 Co 2.89, 4 Sm 3.02
Co 0.3756 0.3756 0.3756  6 Co 2.45-2.48
Co 0.3756 0.3756 0.8731  6 Co 2.45-2.48
Co 0.3756 0.8731 0.3756  6 Co 2.45-2.48
Co 0.8731 0.3756 0.3756  6 Co 2.45-2.48

total magnetization: 0.326 μB per atom
E_form: 58 meV per atom
D(E_F): 8.0 states/eV/cell
space group: No. 216
total energy: -6.986 eV/atom